Tb4Sb3O2: optimized geometry, PBE-GGA.

a b c (Å): 6.3920 8.4982 8.4982
angles (deg): 71.52 86.13 86.13
With the nearest neighbours (Å) after each atom.
Sites, in units of the cell vectors:
Tb 0.4856 0.9195 0.3266  2 O 2.28-2.30
Tb 0.0144 0.6734 0.0805  2 O 2.28-2.30
Tb 0.5144 0.0805 0.6734  2 O 2.28-2.30
Tb 0.9856 0.3266 0.9195  2 O 2.28-2.30
Tb 0.0830 0.2314 0.3868  2 O 2.24-2.30
Tb 0.4170 0.6132 0.7686  2 O 2.24-2.30
Tb 0.9170 0.7686 0.6132  2 O 2.24-2.30
Tb 0.5830 0.3868 0.2314  2 O 2.24-2.30
Sb 0.9824 0.9695 0.2360  6 Tb 3.02-3.36
Sb 0.5176 0.7640 0.0305  6 Tb 3.02-3.36
Sb 0.0176 0.0305 0.7640  6 Tb 3.02-3.36
Sb 0.4824 0.2360 0.9695  6 Tb 3.02-3.36
Sb 0.2500 0.5244 0.4756  4 Tb 3.09-3.29, 2 Sb 3.23
Sb 0.7500 0.4756 0.5244  4 Tb 3.09-3.29, 2 Sb 3.23
O 0.4248 0.1553 0.4031  4 Tb 2.24-2.30
O 0.0752 0.5969 0.8447  4 Tb 2.24-2.30
O 0.5752 0.8447 0.5969  4 Tb 2.24-2.30
O 0.9248 0.4031 0.1553  4 Tb 2.24-2.30

Results
crystal system	monoclinic
uncorrected formation energy	-1.895	eV/atom
density of states at the Fermi level	6.510	states/eV/cell

Sr5TlZn4: optimized geometry, PBE-GGA.

a b c (Å): 3.9540 3.9540 19.7517
angles (deg): 90.00 90.00 90.00
With the nearest neighbours (Å) after each atom.
Sites, in units of the cell vectors:
Sr 0.5000 0.5000 0.1077  4 Zn 3.39, 4 Tl 3.51
Sr 0.5000 0.5000 0.3034  8 Zn 3.40-3.42
Sr 0.5000 0.5000 0.5000  8 Zn 3.39
Sr 0.5000 0.5000 0.6966  8 Zn 3.40-3.42
Sr 0.5000 0.5000 0.8923  4 Zn 3.39, 4 Tl 3.51
Tl 0.0000 0.0000 0.0000  8 Sr 3.51
Zn 0.0000 0.0000 0.2051  8 Sr 3.39-3.40
Zn 0.0000 0.0000 0.4028  8 Sr 3.39-3.42
Zn 0.0000 0.0000 0.5972  8 Sr 3.39-3.42
Zn 0.0000 0.0000 0.7949  8 Sr 3.39-3.40

Results
energy of formation	-227.3	meV/atom
crystal system	tetragonal
density of states at the Fermi level	7.402	states/eV/cell

CsHCl2: optimized geometry, PBE-GGA.

a b c (Å): 6.6397 6.6397 6.4708
angles (deg): 59.13 59.13 90.00
With the nearest neighbours (Å) after each atom.
Sites, in units of the cell vectors:
Cs 0.0000 0.0000 0.0000  8 Cl 3.53-3.75
Cs 0.7500 0.2500 0.5000  8 Cl 3.53-3.75
H 0.5000 0.5000 0.0000  4 Cl 2.04
H 0.2500 0.7500 0.5000  4 Cl 2.04
Cl 0.4362 0.1250 0.2500  2 H 2.04
Cl 0.3138 0.6250 0.2500  2 H 2.04
Cl 0.3750 0.5638 0.7500  2 H 2.04
Cl 0.8750 0.6862 0.7500  2 H 2.04

Results
raw total energy	-2.788	eV per atom
crystal system	tetragonal
density of states at the Fermi level	0.000	states/eV/cell

Zr2ReSe2: optimized geometry, PBE-GGA.

a b c (Å): 5.2082 5.2082 5.3287
angles (deg): 60.75 60.75 90.00
With the nearest neighbours (Å) after each atom.
Sites, in units of the cell vectors:
Re 0.0000 0.0000 0.0000  2 Se 2.48
Se 0.3219 0.3219 0.3561  1 Re 2.48, 4 Zr 2.66, 1 Se 2.74
Se 0.6781 0.6781 0.6439  1 Re 2.48, 4 Zr 2.66, 1 Se 2.74
Zr 0.7500 0.2500 0.5000  4 Se 2.66
Zr 0.2500 0.7500 0.5000  4 Se 2.66

Results
crystal system	tetragonal
uncorrected formation energy	-0.198	eV/atom
density of states at the Fermi level	4.601	states/eV/cell

TaCrHg4: optimized geometry, PBE-GGA.

a b c (Å): 5.6391 5.6391 5.6391
angles (deg): 60.00 60.00 60.00
With the nearest neighbours (Å) after each atom.
Sites, in units of the cell vectors:
Ta 0.7500 0.7500 0.7500  12 Hg 3.31, 4 Cr 3.45
Cr 0.0000 0.0000 0.0000  12 Hg 3.31, 4 Ta 3.45
Hg 0.8752 0.3749 0.3749  6 Hg 2.82
Hg 0.3749 0.3749 0.8752  6 Hg 2.82
Hg 0.3749 0.8752 0.3749  6 Hg 2.82
Hg 0.3749 0.3749 0.3749  6 Hg 2.82

Results
energy of formation	840.4	meV/atom
crystal system	cubic
density of states at the Fermi level	3.392	states/eV/cell

Sm6Sn3Hg: optimized geometry, PBE-GGA.

a b c (Å): 6.2598 8.9182 11.3173
angles (deg): 90.00 90.90 90.00
With the nearest neighbours (Å) after each atom.
Sites, in units of the cell vectors:
Sm 0.6065 0.1744 0.9279  1 Hg 3.01, 3 Sn 3.09-3.33
Sm 0.6043 0.1752 0.5667  3 Sn 3.03-3.33, 1 Hg 3.06
Sm 0.6404 0.4458 0.2520  1 Hg 2.99, 3 Sn 3.01-3.31
Sm 0.3596 0.5542 0.7480  1 Hg 2.99, 3 Sn 3.01-3.31
Sm 0.3957 0.8248 0.4333  3 Sn 3.03-3.33, 1 Hg 3.06
Sm 0.3935 0.8256 0.0721  1 Hg 3.01, 3 Sn 3.09-3.33
Sm 0.1065 0.3256 0.4279  1 Hg 3.01, 3 Sn 3.09-3.33
Sm 0.1043 0.3248 0.0667  3 Sn 3.03-3.33, 1 Hg 3.06
Sm 0.1404 0.0542 0.7520  1 Hg 2.99, 3 Sn 3.01-3.31
Sm 0.8596 0.9458 0.2480  1 Hg 2.99, 3 Sn 3.01-3.31
Sm 0.8957 0.6752 0.9333  3 Sn 3.03-3.33, 1 Hg 3.06
Sm 0.8935 0.6744 0.5721  1 Hg 3.01, 3 Sn 3.09-3.33
Sn 0.6005 0.8849 0.7505  6 Sm 3.25-3.33
Sn 0.5000 0.5000 0.0000  6 Sm 3.01-3.09
Sn 0.3995 0.1151 0.2495  6 Sm 3.25-3.33
Sn 0.1005 0.6151 0.2505  6 Sm 3.25-3.33
Sn 0.0000 0.0000 0.5000  6 Sm 3.01-3.09
Sn 0.8995 0.3849 0.7495  6 Sm 3.25-3.33
Hg 0.5000 0.5000 0.5000  6 Sm 2.99-3.06
Hg 0.0000 0.0000 0.0000  6 Sm 2.99-3.06

Results
energy of formation	-457.2	meV/atom
crystal system	monoclinic
density of states at the Fermi level	19.001	states/eV/cell

Rb2AgPd: optimized geometry, PBE-GGA.

a b c (Å): 11.9311 11.9311 8.8506
angles (deg): 47.62 47.62 90.00
With the nearest neighbours (Å) after each atom.
Sites, in units of the cell vectors:
Rb 0.4563 0.1250 0.2500  2 Pd 3.21
Rb 0.2937 0.6250 0.2500  2 Pd 3.21
Rb 0.3750 0.5437 0.7500  2 Pd 3.21
Rb 0.8750 0.7063 0.7500  2 Pd 3.21
Pd 0.5000 0.5000 0.0000  2 Ag 2.68
Pd 0.2500 0.7500 0.5000  2 Ag 2.68
Ag 0.0000 0.0000 0.0000  2 Pd 2.68
Ag 0.7500 0.2500 0.5000  2 Pd 2.68

Results
energy of formation	151.4	meV/atom
crystal system	tetragonal
density of states at the Fermi level	4.005	states/eV/cell

CsTlB2I: optimized geometry, PBE-GGA.

a b c (Å): 5.5981 7.3583 5.5981
angles (deg): 90.00 90.00 90.00
With the nearest neighbours (Å) after each atom.
Sites, in units of the cell vectors:
Cs 0.0000 0.0000 0.0000  4 B 2.80
I 0.0000 0.5000 0.0000  2 Cs 3.68, 4 Tl 3.96
Tl 0.5000 0.5000 0.5000  4 I 3.96
B 0.0000 0.0000 0.5000  2 Cs 2.80
B 0.5000 0.0000 0.0000  2 Cs 2.80

Results
crystal system	tetragonal
uncorrected formation energy	1.899	eV/atom
density of states at the Fermi level	5.534	states/eV/cell

Pa2AlSi: optimized geometry, PBE-GGA.

a b c (Å): 4.7010 4.7010 5.3833
angles (deg): 64.11 64.11 60.00
With the nearest neighbours (Å) after each atom.
Sites, in units of the cell vectors:
Si 0.5000 0.5000 0.5000  6 Pa 2.93
Pa 0.7548 0.7548 0.7357  3 Si 2.93, 3 Al 2.98
Pa 0.2452 0.2452 0.2643  3 Si 2.93, 3 Al 2.98
Al 0.0000 0.0000 0.0000  6 Pa 2.98

Results
crystal system	trigonal
uncorrected formation energy	-0.098	eV/atom
density of states at the Fermi level	5.798	states/eV/cell

Co4IrPt: optimized geometry, PBE-GGA.

a b c (Å): 8.5708 6.6583 4.0757
angles (deg): 127.74 61.61 122.27
With the nearest neighbours (Å) after each atom.
Sites, in units of the cell vectors:
Co 0.3337 0.4253 0.0915  4 Co 2.35-2.54
Co 0.6667 0.5844 0.9177  4 Co 2.35-2.62
Co 0.1663 0.3417 0.6752  4 Co 2.35-2.54
Co 0.1663 0.8247 0.1585  4 Co 2.35-2.54
Co 0.8333 0.1677 0.8344  4 Co 2.35-2.62
Co 0.3337 0.9083 0.5748  4 Co 2.35-2.54
Co 0.8333 0.6656 0.3323  4 Co 2.35-2.62
Co 0.6667 0.0823 0.4156  4 Co 2.35-2.62
Ir 0.5035 0.7517 0.7483  2 Pt 2.63, 12 Co 2.68-2.70
Ir 0.9965 0.4983 0.5017  2 Pt 2.63, 12 Co 2.68-2.70
Pt 0.0037 0.0019 0.9981  2 Ir 2.63, 12 Co 2.70-2.72
Pt 0.4963 0.2481 0.2519  2 Ir 2.63, 12 Co 2.70-2.72

Results
energy of formation	22.8	meV/atom
crystal system	orthorhombic
density of states at the Fermi level	9.789	states/eV/cell

RuW2Au: optimized geometry, PBE-GGA.

a b c (Å): 2.7844 2.7844 8.2843
angles (deg): 90.00 90.00 90.00
With the nearest neighbours (Å) after each atom.
Sites, in units of the cell vectors:
Au 0.0000 0.0000 0.5041  4 Au 2.78, 4 W 2.91, 4 Ru 2.94
Ru 0.5000 0.5000 0.7674  4 W 2.66, 4 Ru 2.78, 4 Au 2.94
W 0.0000 0.0000 0.9838  4 Ru 2.66, 8 W 2.78-2.92
W 0.5000 0.5000 0.2447  8 W 2.78-2.92, 4 Au 2.91

Results
energy of formation	253.3	meV/atom
crystal system	tetragonal
density of states at the Fermi level	3.145	states/eV/cell

YNiIr: optimized geometry, PBE-GGA.

a b c (Å): 5.4043 5.8978 7.5368
angles (deg): 67.21 90.00 90.00
With the nearest neighbours (Å) after each atom.
Sites, in units of the cell vectors:
Ir 0.3785 0.8387 0.9672  3 Ni 2.46-2.50, 1 Ir 2.51
Ir 0.6215 0.1613 0.0328  3 Ni 2.46-2.50, 1 Ir 2.51
Ir 0.8785 0.6613 0.5328  3 Ni 2.46-2.50, 1 Ir 2.51
Ir 0.1215 0.3387 0.4672  3 Ni 2.46-2.50, 1 Ir 2.51
Y 0.8813 0.6758 0.1191  5 Ir 2.91-3.09, 5 Ni 2.99-3.18
Y 0.6187 0.1758 0.6191  5 Ir 2.91-3.09, 5 Ni 2.99-3.18
Y 0.1187 0.3242 0.8809  5 Ir 2.91-3.09, 5 Ni 2.99-3.18
Y 0.3813 0.8242 0.3809  5 Ir 2.91-3.09, 5 Ni 2.99-3.18
Ni 0.4009 0.4013 0.1946  3 Ir 2.46-2.50
Ni 0.5991 0.5987 0.8054  3 Ir 2.46-2.50
Ni 0.0991 0.9013 0.6946  3 Ir 2.46-2.50
Ni 0.9009 0.0987 0.3054  3 Ir 2.46-2.50

Results
energy of formation	-485.3	meV/atom
crystal system	monoclinic
density of states at the Fermi level	12.765	states/eV/cell

YAs: optimized geometry, PBE-GGA.

a b c (Å): 4.5795 4.5795 4.5795
angles (deg): 60.00 60.00 60.00
With the nearest neighbours (Å) after each atom.
Sites, in units of the cell vectors:
Y 0.2500 0.2500 0.2500  4 As 2.80
As 0.0000 0.0000 0.0000  4 Y 2.80

Results
energy of formation	-1025.3	meV/atom
crystal system	cubic
density of states at the Fermi level	0.000	states/eV/cell

Re2Ag: optimized geometry, PBE-GGA.

a b c (Å): 5.5656 4.0360 8.5384
angles (deg): 90.00 90.00 90.00
With the nearest neighbours (Å) after each atom.
Sites, in units of the cell vectors:
Re 0.1055 0.2500 0.2821  5 Re 2.59-2.84, 4 Ag 2.82-2.89
Re 0.1045 0.2500 0.5853  5 Re 2.59-2.75, 3 Ag 2.77-2.83
Re 0.3955 0.7500 0.0853  5 Re 2.59-2.75, 3 Ag 2.77-2.83
Re 0.3945 0.7500 0.7821  5 Re 2.59-2.84, 4 Ag 2.82-2.89
Re 0.6055 0.2500 0.2179  5 Re 2.59-2.84, 4 Ag 2.82-2.89
Re 0.6045 0.2500 0.9147  5 Re 2.59-2.75, 3 Ag 2.77-2.83
Re 0.8955 0.7500 0.4147  5 Re 2.59-2.75, 3 Ag 2.77-2.83
Re 0.8945 0.7500 0.7179  5 Re 2.59-2.84, 4 Ag 2.82-2.89
Ag 0.1071 0.2500 0.9162  2 Ag 2.75, 9 Re 2.77-2.96
Ag 0.3929 0.7500 0.4162  2 Ag 2.75, 9 Re 2.77-2.96
Ag 0.6071 0.2500 0.5838  2 Ag 2.75, 9 Re 2.77-2.96
Ag 0.8929 0.7500 0.0838  2 Ag 2.75, 9 Re 2.77-2.96

Results
energy of formation	531.7	meV/atom
crystal system	orthorhombic
density of states at the Fermi level	7.356	states/eV/cell

Tb3YCo: optimized geometry, PBE-GGA.

a b c (Å): 7.1500 7.1500 7.1733
angles (deg): 108.76 110.41 109.12
With the nearest neighbours (Å) after each atom.
Sites, in units of the cell vectors:
Tb 0.8406 0.0478 0.2944  1 Co 2.55
Tb 0.2465 0.4537 0.2944  1 Co 2.55
Tb 0.7535 0.5463 0.7056  1 Co 2.55
Tb 0.7065 0.4535 0.1601  1 Co 2.55
Tb 0.1594 0.9522 0.7056  1 Co 2.55
Tb 0.2935 0.5465 0.8399  1 Co 2.55
Y 0.7060 0.0479 0.7539  1 Co 2.59
Y 0.2940 0.9521 0.2461  1 Co 2.59
Co 0.6243 0.7487 0.3729  3 Tb 2.55, 1 Y 2.59
Co 0.3757 0.2513 0.6271  3 Tb 2.55, 1 Y 2.59

Results
energy of formation	-101.2	meV/atom
crystal system	monoclinic
density of states at the Fermi level	10.664	states/eV/cell